Record 1
ZnSb2W: relaxed, PBE.

Geometry as POSCAR:
```
ZnSb2W
1.0
4.756 0.000 0.000
0.000 4.756 0.000
0.000 0.000 3.481
Zn W Sb
1 1 2
Direct
0.000 0.500 0.500
0.500 0.000 0.500
0.500 0.500 0.000
0.000 0.000 0.000
```

The calculation puts the density of states at the Fermi level at 2.28 states/eV per cell. The value obtained for the volume is 78.7 Å³ per cell.

***

Record 2
ZnSbW: relaxed, PBE.

Geometry as POSCAR:
```
ZnSbW
1.0
4.753 0.000 0.000
-2.376 4.116 0.000
0.000 0.000 2.854
Zn Sb W
1 1 1
Direct
0.667 0.333 0.666
0.000 0.000 0.168
0.333 0.667 0.166
```

The calculation puts the density of states at the Fermi level at 1.46 states/eV per cell. The value obtained for the volume is 55.8 Å³ per cell.

***

Record 3
ZnSb3W: relaxed, PBE.

Geometry as POSCAR:
```
ZnSb3W
1.0
5.106 0.000 0.000
0.000 5.106 0.000
0.000 0.000 5.106
Zn W Sb
1 1 3
Direct
0.000 0.000 0.000
0.500 0.500 0.500
0.000 0.000 0.500
0.500 0.000 0.000
0.000 0.500 0.000
```

The calculation puts the density of states at the Fermi level at 3.64 states/eV per cell. The value obtained for the volume is 133.1 Å³ per cell.

***

Record 4
ZnSbW3: relaxed, PBE.

Geometry as POSCAR:
```
ZnSbW3
1.0
4.604 0.000 0.000
0.000 4.604 0.000
0.000 0.000 4.604
W Sb Zn
3 1 1
Direct
0.500 0.000 0.000
0.000 0.500 0.000
0.000 0.000 0.500
0.500 0.500 0.500
0.000 0.000 0.000
```

The calculation puts the density of states at the Fermi level at 3.72 states/eV per cell. The value obtained for the volume is 97.6 Å³ per cell.

***

Record 5
ZnSbW: relaxed, PBE.

Geometry as POSCAR:
```
ZnSbW
1.0
-1.125 -0.845 -4.267
-2.967 -3.241 -0.942
-4.099 1.072 -1.497
Zn Sb W
1 1 1
Direct
0.000 0.000 0.000
0.500 0.500 0.500
0.750 0.750 0.750
```

The calculation puts the density of states at the Fermi level at 2.37 states/eV per cell. The value obtained for the volume is 64.2 Å³ per cell.

***

Record 6
ZnSb2W: relaxed, PBE.

Geometry as POSCAR:
```
ZnSb2W
1.0
3.069 -0.024 0.000
-0.903 2.934 0.000
0.000 0.000 9.867
Zn W Sb
1 1 2
Direct
0.500 0.500 0.723
0.000 0.000 0.524
0.000 0.000 0.942
0.500 0.500 0.312
```

The calculation puts the density of states at the Fermi level at 2.14 states/eV per cell. The value obtained for the volume is 88.6 Å³ per cell.

***

Record 7
Zn2SbW2: relaxed, PBE.

Geometry as POSCAR:
```
Zn2SbW2
1.0
-3.038 -0.934 1.565
0.613 -3.388 -0.832
2.177 -3.036 6.423
Sb W Zn
1 2 2
Direct
0.000 0.000 0.000
0.594 0.594 0.811
0.406 0.406 0.189
0.750 0.250 0.500
0.250 0.750 0.500
```

The calculation puts the density of states at the Fermi level at 4.30 states/eV per cell. The value obtained for the volume is 87.8 Å³ per cell.

***

Record 8
ZnSb2W: relaxed, PBE.

Geometry as POSCAR:
```
ZnSb2W
1.0
3.328 0.000 0.000
0.000 3.329 0.000
0.000 0.000 7.723
Zn Sb W
1 2 1
Direct
0.500 0.500 0.750
0.000 0.000 0.465
0.000 0.000 0.035
0.500 0.500 0.250
```

The calculation puts the density of states at the Fermi level at 2.02 states/eV per cell. The value obtained for the volume is 85.6 Å³ per cell.

***

Number 1: E_tot -4.968 eV/atom. Number 2: E_tot -5.465 eV/atom. Number 3: E_tot -3.885 eV/atom. Number 4: E_tot -6.946 eV/atom. Number 5: E_tot -5.341 eV/atom. Number 6: E_tot -5.147 eV/atom. Number 7: E_tot -5.850 eV/atom. Number 8: E_tot -5.223 eV/atom.